[1]
Entry from Alexandria: crystalline ErTh2In2 at its relaxed geometry (PBE).

Properties
formation energy: -213 meV per atom

Lattice parameters (Å, degrees): 4.8662 6.8575 9.0428 90.00 90.00 90.00
Space group Immm (No. 71)
Asymmetric unit:
Er (0.0000, 0.0000, 0.0000) x2
Th (0.0000, 0.5000, 0.1957) x4
In (0.0000, 0.2163, 0.5000) x4



[2]
Entry from Alexandria: crystalline Nd7Ho2Er at its relaxed geometry (PBE).

Properties
formation energy: 639 meV per atom

Lattice parameters (Å, degrees): 8.8352 16.6616 5.6205 90.00 90.00 90.00
Space group Cmmm (No. 65)
Asymmetric unit:
Nd (0.0000, 0.0000, 0.0000) x2
Nd (0.0000, 0.2848, 0.5000) x4
Nd (0.1791, 0.3879, 0.0000) x8
Ho (0.0000, 0.2054, 0.0000) x4
Er (0.0000, 0.5000, 0.5000) x2



[3]
Entry from Alexandria: crystalline Ba2ZnSb3Pt4 at its relaxed geometry (PBE).

Properties
formation energy (no corrections): -0.79 eV per atom

Lattice parameters (Å, degrees): 4.7545 4.7545 10.5833 90.00 90.00 90.00
Space group P-4m2 (No. 115)
Asymmetric unit:
Ba (0.0000, 0.5000, 0.2487) x2
Zn (0.5000, 0.5000, 0.0000) x1
Sb (0.0000, 0.0000, 0.0000) x1
Sb (0.0000, 0.5000, 0.6260) x2
Pt (0.0000, 0.0000, 0.5000) x1
Pt (0.0000, 0.5000, 0.8840) x2
Pt (0.5000, 0.5000, 0.5000) x1



[4]
Entry from Alexandria: crystalline Ce2HoAgC at its relaxed geometry (PBE).

Properties
formation energy: -99 meV per atom

Lattice parameters (Å, degrees): 4.9307 4.9307 4.9023 90.00 90.00 90.00
Space group P4/mmm (No. 123)
Asymmetric unit:
Ce (0.0000, 0.5000, 0.0000) x2
Ho (0.0000, 0.0000, 0.5000) x1
Ag (0.5000, 0.5000, 0.5000) x1
C (0.0000, 0.0000, 0.0000) x1



[5]
Entry from Alexandria: crystalline Nd3Se2N2 at its relaxed geometry (PBE).

Properties
formation energy (no corrections): -1.42 eV per atom

Lattice parameters (Å, degrees): 6.6259 7.4736 7.4056 90.00 116.37 90.00
Space group P2_1/c (No. 14)
Asymmetric unit:
Nd (0.0000, 0.0000, 0.0000) x2
Nd (0.3820, 0.1082, 0.7557) x4
Se (0.1842, 0.6577, 0.9120) x4
N (0.3450, 0.1190, 0.0654) x4



[6]
Entry from Alexandria: crystalline CsPrSnBr6 at its relaxed geometry (PBE).

Properties
formation energy (no corrections): -1.53 eV per atom

Lattice parameters (Å, degrees): 7.7763 7.7763 7.9273 90.00 90.00 120.00
Space group P312 (No. 149)
Asymmetric unit:
Cs (0.0000, 0.0000, 0.0000) x1
Pr (0.6667, 0.3333, 0.5000) x1
Sn (0.3333, 0.6667, 0.5000) x1
Br (0.3809, 0.0068, 0.7141) x6



[7]
Entry from Alexandria: crystalline K2LaPt at its relaxed geometry (PBE).

Properties
formation energy: 375 meV per atom
energy above the most stable polymorph in this dataset: 756 meV/atom

Lattice parameters (Å, degrees): 4.7774 4.7856 12.2580 90.00 90.00 90.00
Space group Cmmm (No. 65)
Asymmetric unit:
K (0.0000, 0.0000, 0.1754) x4
La (0.0000, 0.5000, 0.5000) x2
Pt (0.0000, 0.5000, 0.0000) x2



[8]
Entry from Alexandria: crystalline Hf2AlPd at its relaxed geometry (PBE).

Properties
formation energy: -483 meV per atom

Lattice parameters (Å, degrees): 3.0621 3.0621 7.8710 90.00 90.00 90.00
Space group P4/mmm (No. 123)
Asymmetric unit:
Hf (0.0000, 0.0000, 0.2432) x2
Al (0.5000, 0.5000, 0.5000) x1
Pd (0.5000, 0.5000, 0.0000) x1



[9]
Entry from Alexandria: crystalline RbAgO2 at its relaxed geometry (PBE).

Properties
formation energy (no corrections): -0.19 eV per atom

Lattice parameters (Å, degrees): 3.8070 3.8070 21.4444 90.00 90.00 120.00
Space group R-3m (No. 166, hexagonal axes)
Asymmetric unit:
Rb (0.0000, 0.0000, 0.0000) x3
Ag (0.0000, 0.0000, 0.5000) x3
O (0.0000, 0.0000, 0.4112) x6



[10]
Entry from Alexandria: crystalline Ba8Zn2Pt at its relaxed geometry (PBE).

Properties
formation energy: -166 meV per atom
energy above the most stable polymorph in this dataset: 28 meV/atom

Lattice parameters (Å, degrees): 21.2694 5.8540 7.9339 90.00 103.66 90.00
Space group C2/m (No. 12)
Asymmetric unit:
Ba (0.0364, 0.0000, 0.3086) x4
Ba (0.0869, 0.5000, 0.9055) x4
Ba (0.1563, 0.5000, 0.4648) x4
Ba (0.2144, 0.0000, 0.8244) x4
Zn (0.1918, 0.0000, 0.2368) x4
Pt (0.0000, 0.5000, 0.5000) x2



[11]
Entry from Alexandria: crystalline BaPbBr2 at its relaxed geometry (PBE).

Properties
formation energy (no corrections): -0.73 eV per atom
energy above the most stable polymorph in this dataset: 415 meV/atom

Lattice parameters (Å, degrees): 8.2730 8.2730 8.2730 90.00 90.00 90.00
Space group F-43m (No. 216)
Asymmetric unit:
Ba (0.0000, 0.0000, 0.0000) x4
Pb (0.2500, 0.2500, 0.7500) x4
Br (0.0000, 0.0000, 0.5000) x4
Br (0.2500, 0.2500, 0.2500) x4



[12]
Entry from Alexandria: crystalline AlGa2H2 at its relaxed geometry (PBE).

Properties
energy above the most stable polymorph in this dataset: 91 meV/atom

Lattice parameters (Å, degrees): 6.5384 6.5384 2.8370 90.00 90.00 90.00
Space group P4/mbm (No. 127)
Asymmetric unit:
Al (0.0000, 0.0000, 0.0000) x2
Ga (0.1458, 0.3542, 0.5000) x4
H (0.1169, 0.6169, 0.0000) x4



[13]
Entry from Alexandria: crystalline Be2HgRh at its relaxed geometry (PBE).

Properties
formation energy: -53 meV per atom

Lattice parameters (Å, degrees): 3.7601 2.8929 9.4075 90.00 90.00 90.00
Space group Amm2 (No. 38)
Asymmetric unit:
Be (0.0000, 0.0000, 0.0000) x2
Be (0.5000, 0.0000, 0.1332) x2
Hg (0.0000, 0.0000, 0.7396) x2
Rh (0.5000, 0.0000, 0.4374) x2



[14]
Entry from Alexandria: crystalline YIn3 at its relaxed geometry (PBE).

Properties
formation energy: -245 meV per atom

Lattice parameters (Å, degrees): 3.5655 4.5583 6.4980 90.00 90.00 90.00
Space group Pmmm (No. 47)
Asymmetric unit:
Y (0.0000, 0.0000, 0.0000) x1
In (0.0000, 0.0000, 0.5000) x1
In (0.5000, 0.5000, 0.2486) x2



[15]
Entry from Alexandria: crystalline CdPb2Au at its relaxed geometry (PBE).

Properties
formation energy: -26 meV per atom

Lattice parameters (Å, degrees): 3.8294 4.5357 6.3087 90.00 106.61 90.00
Space group Pm (No. 6)
Asymmetric unit:
Cd (0.0000, 0.0000, 0.0000) x1
Pb (0.2742, 0.0000, 0.5461) x1
Pb (0.5947, 0.5000, 0.1878) x1
Au (0.8509, 0.5000, 0.6986) x1



[16]
Entry from Alexandria: crystalline Nd4MgCo at its relaxed geometry (PBE).

Properties
formation energy: -23 meV per atom
energy above the most stable polymorph in this dataset: 76 meV/atom

Lattice parameters (Å, degrees): 17.1116 7.2773 6.0888 90.00 110.78 90.00
Space group C2/m (No. 12)
Asymmetric unit:
Nd (0.0000, 0.2328, 0.0000) x4
Nd (0.1170, 0.2485, 0.6165) x8
Nd (0.1836, 0.5000, 0.1830) x4
Mg (0.1945, 0.0000, 0.1942) x4
Co (0.0001, 0.5000, 0.3019) x4



[17]
Entry from Alexandria: crystalline GdYGa at its relaxed geometry (PBE).

Properties
formation energy: -381 meV per atom
energy above the most stable polymorph in this dataset: 0 meV/atom

Lattice parameters (Å, degrees): 3.5377 3.5377 12.9078 90.00 90.00 90.00
Space group I4mm (No. 107)
Asymmetric unit:
Gd (0.0000, 0.0000, 0.0000) x2
Y (0.0000, 0.0000, 0.2888) x2
Ga (0.0000, 0.0000, 0.6467) x2



[18]
Entry from Alexandria: crystalline NdEr6Mg at its relaxed geometry (PBE).

Properties
formation energy: 39 meV per atom
energy above the most stable polymorph in this dataset: 0 meV/atom

Lattice parameters (Å, degrees): 9.8055 9.8144 5.0293 90.00 90.00 90.00
Space group Cmmm (No. 65)
Asymmetric unit:
Nd (0.0000, 0.0000, 0.0000) x2
Er (0.0000, 0.2480, 0.5000) x4
Er (0.2480, 0.0000, 0.5000) x4
Er (0.2500, 0.2500, 0.0000) x4
Mg (0.0000, 0.5000, 0.0000) x2



[19]
Entry from Alexandria: crystalline HgHRh2 at its relaxed geometry (PBE).

Properties
energy above the most stable polymorph in this dataset: 89 meV/atom

Lattice parameters (Å, degrees): 6.0347 6.0347 5.9510 90.00 90.00 90.00
Space group I-42d (No. 122)
Asymmetric unit:
Hg (0.0000, 0.0000, 0.0000) x4
H (0.0000, 0.0000, 0.5000) x4
Rh (0.1260, 0.2500, 0.6250) x8



[20]
Entry from Alexandria: crystalline KBeCo at its relaxed geometry (PBE).

Properties
formation energy: 2123 meV per atom
energy above the most stable polymorph in this dataset: 1586 meV/atom

Lattice parameters (Å, degrees): 7.0895 7.0895 7.0895 90.00 90.00 90.00
Space group F-43m (No. 216)
Asymmetric unit:
K (0.0000, 0.0000, 0.0000) x4
Be (0.2500, 0.2500, 0.2500) x4
Co (0.2500, 0.2500, 0.7500) x4